The following is a PBE-GGA calculation of a geometry-optimized Ac2TeH4 structure, from Alexandria via LeMat-Bulk.

abc: 8.5634 8.5634 8.5634
angles: 28.94 28.94 28.94
Positions (direct):
Ac1 0.2392 0.2392 0.2392
Ac2 0.7608 0.7608 0.7608
Te1 0.0000 0.0000 0.0000
H1 0.1362 0.1362 0.1362
H2 0.4355 0.4355 0.4355
H3 0.5645 0.5645 0.5645
H4 0.8638 0.8638 0.8638

Output
Symmetry: No. 166
Total magnetization (μB per cell): 0.0
DOS at the Fermi energy (states/eV/f.u.): 0.000
Raw total energy (eV/atom): -4.410